The following is a PBE calculation of a geometry-optimized BeAs2W structure, from the Alexandria database.

abc: 3.225 3.225 6.781
angles: 90.00 90.00 90.00
Positions (direct):
Be 0.000 0.000 0.000
As 0.000 0.000 0.369
As 0.500 0.500 0.820
W 0.500 0.500 0.185

Formation energy from the elements   0.231 eV/atom
DOS at the Fermi energy   0.682 states/eV/atom
Size of the total moment   0.00 μB per cell

***

The following is a PBE calculation of a geometry-optimized ReAuCl3 structure, from the Alexandria database.

abc: 5.094 5.094 5.094
angles: 90.00 90.00 90.00
Positions (direct):
Re 0.000 0.000 0.000
Au 0.500 0.500 0.500
Cl 0.000 0.500 0.500
Cl 0.500 0.000 0.500
Cl 0.500 0.500 0.000

Raw formation energy   0.99 eV per atom
DOS at the Fermi energy   0.423 states/eV/atom
Size of the total moment   5.95 μB per cell

***

The following is a PBE calculation of a geometry-optimized LiY2Re structure, from the Alexandria database.

abc: 3.612 5.008 10.037
angles: 90.00 90.00 90.00
Positions (direct):
Li 0.000 0.000 0.000
Li 0.500 0.500 0.000
Y 0.000 0.000 0.407
Y 0.000 0.500 0.729
Y 0.500 0.000 0.729
Y 0.500 0.500 0.407
Re 0.000 0.500 0.196
Re 0.500 0.000 0.196

Formation energy from the elements   0.545 eV/atom
DOS at the Fermi energy   1.023 states/eV/atom
Size of the total moment   0.00 μB per cell

***

The following is a PBE calculation of a geometry-optimized CaSm3C8 structure, from the Alexandria database.

abc: 6.389 6.377 7.104
angles: 56.27 56.11 67.63
Positions (direct):
Ca 0.000 0.000 0.000
Sm 0.248 0.248 0.252
Sm 0.500 0.500 0.500
Sm 0.748 0.748 0.752
C 0.073 0.405 0.927
C 0.133 0.611 0.389
C 0.391 0.869 0.609
C 0.405 0.073 0.595
C 0.597 0.929 0.071
C 0.611 0.133 0.867
C 0.869 0.391 0.131
C 0.929 0.597 0.403

Formation energy from the elements   0.123 eV/atom
DOS at the Fermi energy   0.308 states/eV/atom
Size of the total moment   0.00 μB per cell

***

The following is a PBE calculation of a geometry-optimized Tb4Er3Ga4 structure, from the Alexandria database.

abc: 10.148 10.148 10.148
angles: 159.96 127.41 56.84
Positions (direct):
Tb 0.018 0.835 0.183
Tb 0.349 0.165 0.183
Tb 0.651 0.835 0.817
Tb 0.982 0.165 0.817
Er 0.000 0.500 0.500
Er 0.405 0.405 0.000
Er 0.595 0.595 0.000
Ga 0.274 0.774 0.500
Ga 0.278 0.000 0.278
Ga 0.722 0.000 0.722
Ga 0.726 0.226 0.500

Formation energy from the elements   -0.415 eV/atom
DOS at the Fermi energy   0.799 states/eV/atom
Size of the total moment   0.00 μB per cell

***

The following is a PBE calculation of a geometry-optimized Mg2TcP structure, from the Alexandria database.

abc: 3.885 3.885 8.284
angles: 90.00 90.00 90.00
Positions (direct):
Mg 0.000 0.000 0.000
Mg 0.000 0.500 0.250
Mg 0.500 0.000 0.750
Mg 0.500 0.500 0.500
Tc 0.000 0.000 0.500
Tc 0.500 0.500 0.000
P 0.000 0.500 0.750
P 0.500 0.000 0.250

Formation energy from the elements   0.014 eV/atom
DOS at the Fermi energy   0.457 states/eV/atom
Size of the total moment   2.76 μB per cell

***

The following is a PBE calculation of a geometry-optimized TiBIN2 structure, from the Alexandria database.

abc: 3.859 3.859 5.996
angles: 90.00 90.00 90.00
Positions (direct):
Ti 0.000 0.000 0.000
B 0.500 0.500 0.500
I 0.000 0.000 0.500
N 0.000 0.500 0.000
N 0.500 0.000 0.000

Raw formation energy   1.07 eV per atom
DOS at the Fermi energy   0.460 states/eV/atom
Size of the total moment   0.00 μB per cell

***

The following is a PBE calculation of a geometry-optimized CaTiTe2N structure, from the Alexandria database.

abc: 5.740 5.740 4.064
angles: 90.00 90.00 90.00
Positions (direct):
Ca 0.000 0.000 0.000
Ti 0.500 0.500 0.500
Te 0.000 0.500 0.000
Te 0.500 0.000 0.000
N 0.000 0.000 0.500

Raw formation energy   0.86 eV per atom
DOS at the Fermi energy   1.588 states/eV/atom
Size of the total moment   0.03 μB per cell